Entry from Alexandria: a relaxed structure of Dy2Pu3Ge4 (PBE).

calculated density	10.388	g/cm3
energy of formation	-0.5726	eV per atom

abc: 7.5335 7.8299 7.8079
angles: 90.00 90.00 110.71
With the nearest neighbours (Å) after each atom.
Positions (direct):
Dy 0.5601 0.1890 0.3139  5 Ge 2.95-3.23
Dy 0.9399 0.8110 0.8139  5 Ge 2.95-3.23
Dy 0.4399 0.8110 0.6861  5 Ge 2.95-3.23
Dy 0.0601 0.1890 0.1861  5 Ge 2.95-3.23
Pu 0.0000 0.5000 0.5000  6 Ge 3.05-3.10, 2 Pu 3.26
Pu 0.5000 0.5000 0.0000  6 Ge 3.05-3.10, 2 Pu 3.26
Pu 0.7139 0.2437 0.8333  6 Ge 2.89-3.04
Pu 0.7861 0.7563 0.3333  6 Ge 2.89-3.04
Pu 0.2861 0.7563 0.1667  6 Ge 2.89-3.04
Pu 0.2139 0.2437 0.6667  6 Ge 2.89-3.04
Ge 0.8174 0.0791 0.5361  4 Pu 2.89-3.10, 3 Dy 2.95-3.23
Ge 0.6826 0.9209 0.0361  4 Pu 2.89-3.10, 3 Dy 2.95-3.23
Ge 0.1826 0.9209 0.4639  4 Pu 2.89-3.10, 3 Dy 2.95-3.23
Ge 0.3174 0.0791 0.9639  4 Pu 2.89-3.10, 3 Dy 2.95-3.23
Ge 0.8824 0.4888 0.1252  1 Ge 2.60
Ge 0.6176 0.5112 0.6252  1 Ge 2.60
Ge 0.1176 0.5112 0.8748  1 Ge 2.60
Ge 0.3824 0.4888 0.3748  1 Ge 2.60

Entry from Alexandria: a relaxed structure of Sr2MgIn6Ni (PBE).

calculated density	5.800	g/cm3
energy of formation	-0.2773	eV per atom

abc: 6.3116 7.0437 7.0437
angles: 120.00 90.00 90.00
With the nearest neighbours (Å) after each atom.
Positions (direct):
Sr 0.3334 0.3333 0.6667  12 In 3.50-3.73
Sr 0.6666 0.6667 0.3333  12 In 3.50-3.73
Mg 0.5000 0.0000 0.0000  6 In 3.03, 2 Ni 3.16
In 0.8125 0.1885 0.3770  1 Ni 2.59
In 0.8125 0.1885 0.8115  1 Ni 2.59
In 0.8125 0.6230 0.8115  1 Ni 2.59
In 0.1875 0.8115 0.1885  1 Ni 2.59
In 0.1875 0.3770 0.1885  1 Ni 2.59
In 0.1875 0.8115 0.6230  1 Ni 2.59
Ni 0.0000 0.0000 0.0000  6 In 2.59

- The lowest energy of formation belongs to which entry?
  Dy2Pu3Ge4